Entry 1:
# Tb2Sm5Tl

An optimized crystal structure of Tb2Sm5Tl (PBE, Alexandria via LeMat-Bulk).

Computed properties:
- Excess energy over the best structure of this formula in the dataset: 0.00 eV per formula unit
- Uncorrected energy: -4.455 eV/atom
- Energy of formation: -5.0 kJ/mol of atoms

Lattice parameters (Å, degrees): 7.126 14.270 5.003 90.00 90.00 90.00
Space group Pbam (No. 55)
Asymmetric unit:
Tb1 0.246 0.124 0.000 x4
Sm1 0.000 0.000 0.500 x2
Sm2 0.002 0.741 0.500 x4
Sm3 0.247 0.874 0.000 x4
Tl1 0.000 0.500 0.500 x2

Entry 2:
# Y3Hg2BRh3

An optimized crystal structure of Y3Hg2BRh3 (PBE, Alexandria via LeMat-Bulk).

Computed properties:
- Uncorrected energy: -5.980 eV/atom
- Energy of formation: -54.6 kJ/mol of atoms

Lattice parameters (Å, degrees): 7.5961 7.5961 3.4882 90.00 90.00 120.00
Space group P-62m (No. 189)
Asymmetric unit:
Y1 0.0000 0.6446 0.0000 x3
Hg1 0.3333 0.6667 0.5000 x2
B1 0.0000 0.0000 0.0000 x1
Rh1 0.0000 0.2107 0.5000 x3

Entry 3:
# Re6OsRu3

An optimized crystal structure of Re6OsRu3 (PBE, Alexandria via LeMat-Bulk).

Computed properties:
- Uncorrected energy: -10.855 eV/atom
- Energy of formation: 50.1 kJ/mol of atoms

Lattice parameters (Å, degrees): 5.036 7.799 9.499 90.00 121.99 90.00
Space group P2_1/c (No. 14)
Asymmetric unit:
Re1 0.009 0.107 0.250 x4
Re2 0.061 0.658 0.563 x4
Re3 0.434 0.657 0.935 x4
Os1 0.000 0.000 0.500 x2
Ru1 0.475 0.126 0.250 x4
Ru2 0.500 0.000 0.000 x2

Entry 4:
# Re2Ir

An optimized crystal structure of Re2Ir (PBE, Alexandria via LeMat-Bulk).

Computed properties:
- Excess energy over the best structure of this formula in the dataset: 3.77 eV per formula unit
- Uncorrected energy: -10.187 eV/atom
- Energy of formation: 102.8 kJ/mol of atoms

Lattice parameters (Å, degrees): 6.055 6.055 6.055 90.00 90.00 90.00
Space group Pa-3 (No. 205)
Asymmetric unit:
Re1 0.109 0.109 0.109 x8
Ir1 0.000 0.000 0.500 x4

Entry 5:
# BeSb2TePd

An optimized crystal structure of BeSb2TePd (PBE, Alexandria via LeMat-Bulk).

Computed properties:
- Excess energy over the best structure of this formula in the dataset: 1.55 eV per formula unit
- Uncorrected energy: -3.231 eV/atom
- Energy relative to the elements, uncorrected: 0.831 eV per atom

Lattice parameters (Å, degrees): 5.167 5.167 5.410 90.00 90.00 90.00
Space group P4/mmm (No. 123)
Asymmetric unit:
Be1 0.000 0.000 0.000 x1
Sb1 0.000 0.500 0.500 x2
Te1 0.500 0.500 0.000 x1
Pd1 0.500 0.500 0.500 x1

Entry 6:
# Sr3Au2

An optimized crystal structure of Sr3Au2 (PBE, Alexandria via LeMat-Bulk).

Computed properties:
- Excess energy over the best structure of this formula in the dataset: 0.33 eV per formula unit
- Uncorrected energy: -2.928 eV/atom
- Energy of formation: -58.7 kJ/mol of atoms

Lattice parameters (Å, degrees): 3.903 3.903 21.659 90.00 90.00 90.00
Space group I4/mmm (No. 139)
Asymmetric unit:
Sr1 0.000 0.000 0.000 x2
Sr2 0.000 0.000 0.172 x4
Au1 0.000 0.000 0.409 x4